[1]
DyMoOs: optimized geometry, PBE-GGA.

Cell and atoms, written as POSCAR:
```
DyMoOs
1.0
-0.9793 2.8770 -4.1585
-4.9139 -2.2026 3.4669
-1.9023 2.9451 3.7731
Dy Mo Os
2 2 2
direct
0.7825 0.5000 0.2175 Dy
0.2825 0.5000 0.7175 Dy
0.2825 0.0000 0.7175 Mo
0.7826 0.0000 0.2174 Mo
0.2825 0.0000 0.2175 Os
0.7825 0.0000 0.7175 Os
```

Volume (A^3/atom): 21.7
Crystal system: orthorhombic
Distance to the lowest polymorph of the same formula (eV/atom): 0.452
Magnetic moment (μB/f.u.): 0.00
Energy of formation from the pure elements (eV/atom): 0.27

=====

[2]
DyMoOs: optimized geometry, PBE-GGA.

Cell and atoms, written as POSCAR:
```
DyMoOs
1.0
4.6567 0.0000 2.6146
1.7059 4.5132 2.4159
0.0330 -0.0614 5.3954
Os Mo Dy
2 2 2
direct
0.5000 0.0000 0.5000 Os
0.5000 0.5000 0.0000 Os
0.5000 0.0000 0.0000 Mo
0.0000 0.0000 0.0000 Mo
0.8703 0.3797 0.3797 Dy
0.1297 0.6203 0.6203 Dy
```

Volume (A^3/atom): 18.9
Crystal system: orthorhombic
Distance to the lowest polymorph of the same formula (eV/atom): 0.000
Magnetic moment (μB/f.u.): 0.00
Energy of formation from the pure elements (eV/atom): -0.18

=====

[3]
DySi2MoOs: optimized geometry, PBE-GGA.

Cell and atoms, written as POSCAR:
```
DySi2MoOs
1.0
-2.6834 0.3599 -3.0711
-0.5340 -4.0592 -0.0090
-2.2375 2.3481 4.9591
Os Si Mo Dy
1 2 1 1
direct
0.7500 0.2500 0.5000 Os
0.6175 0.6175 0.2351 Si
0.3825 0.3825 0.7649 Si
0.2500 0.7500 0.5000 Mo
0.0000 0.0000 0.0000 Dy
```

Volume (A^3/atom): 17.3
Crystal system: tetragonal
Magnetic moment (μB/f.u.): 0.95
E_form (uncorrected) (eV/atom): -0.54

=====

[4]
DyMoP: optimized geometry, PBE-GGA.

Cell and atoms, written as POSCAR:
```
DyMoP
1.0
-3.0670 2.3566 0.4790
-1.5520 -2.5326 2.5232
3.4380 3.3594 5.4866
Dy Mo P
2 2 2
direct
0.0000 0.5000 0.8503 Dy
0.5000 0.0000 0.1497 Dy
0.5000 0.5000 0.5000 Mo
0.0000 0.0000 0.5000 Mo
0.5000 0.0000 0.7326 P
0.0000 0.5000 0.2674 P
```

Volume (A^3/atom): 18.5
Crystal system: tetragonal
Magnetic moment (μB/f.u.): 0.00
Energy of formation from the pure elements (eV/atom): -0.79

=====

[5]
DyPa2Mo: optimized geometry, PBE-GGA.

Cell and atoms, written as POSCAR:
```
DyPa2Mo
1.0
3.7010 0.0000 0.0000
1.8505 3.2051 0.0000
1.8505 1.0684 8.9121
Pa Dy Mo
2 1 1
direct
0.7313 0.7313 0.8061 Pa
0.2687 0.2687 0.1939 Pa
0.5000 0.5000 0.5000 Dy
0.0000 0.0000 0.0000 Mo
```

Volume (A^3/atom): 26.4
Crystal system: trigonal
Distance to the lowest polymorph of the same formula (eV/atom): 0.221
Magnetic moment (μB/f.u.): 0.00
Energy of formation from the pure elements (eV/atom): 0.43

=====

[6]
DyPaMo4: optimized geometry, PBE-GGA.

Cell and atoms, written as POSCAR:
```
DyPaMo4
1.0
5.5088 0.0000 0.0000
2.7544 4.7708 0.0000
2.7544 1.5903 4.4979
Mo Dy Pa
4 1 1
direct
0.6253 0.6253 0.6253 Mo
0.6253 0.6253 0.1240 Mo
0.1240 0.6253 0.6253 Mo
0.6253 0.1240 0.6253 Mo
0.2500 0.2500 0.2500 Dy
0.0000 0.0000 0.0000 Pa
```

Volume (A^3/atom): 19.7
Crystal system: cubic
Magnetic moment (μB/f.u.): 0.00
Energy of formation from the pure elements (eV/atom): 0.10

=====

[7]
DyPa2Mo: optimized geometry, PBE-GGA.

Cell and atoms, written as POSCAR:
```
DyPa2Mo
1.0
3.3968 0.0000 0.0000
0.0000 3.3968 0.0000
0.0000 0.0000 8.5078
Dy Pa Mo
1 2 1
direct
0.5000 0.5000 0.5000 Dy
0.0000 0.0000 0.2066 Pa
0.0000 0.0000 0.7934 Pa
0.5000 0.5000 0.0000 Mo
```

Volume (A^3/atom): 24.5
Crystal system: tetragonal
Distance to the lowest polymorph of the same formula (eV/atom): 0.000
Magnetic moment (μB/f.u.): 0.00
Energy of formation from the pure elements (eV/atom): 0.21

=====

[8]
DyPaTcMo: optimized geometry, PBE-GGA.

Cell and atoms, written as POSCAR:
```
DyPaTcMo
1.0
4.8638 0.0000 0.0000
2.4319 4.2122 0.0000
2.4319 1.4041 3.9713
Tc Dy Mo Pa
1 1 1 1
direct
0.5000 0.5000 0.5000 Tc
0.7500 0.7500 0.7500 Dy
0.0000 0.0000 0.0000 Mo
0.2500 0.2500 0.2500 Pa
```

Volume (A^3/atom): 20.3
Crystal system: cubic
Magnetic moment (μB/f.u.): 0.00
Energy of formation from the pure elements (eV/atom): 0.07

=====

[9]
PrDyMo: optimized geometry, PBE-GGA.

Cell and atoms, written as POSCAR:
```
PrDyMo
1.0
-1.6459 -2.1741 -1.9596
-1.6870 -1.1326 2.6735
-10.0578 9.6500 -2.2584
Pr Mo Dy
2 2 2
direct
0.0000 0.5000 0.6032 Pr
0.5000 0.0000 0.3968 Pr
0.5000 0.0000 0.0466 Mo
0.0000 0.5000 0.9534 Mo
0.0000 0.5000 0.1854 Dy
0.5000 0.0000 0.8146 Dy
```

Volume (A^3/atom): 26.5
Crystal system: tetragonal
Magnetic moment (μB/f.u.): 0.00
Energy of formation from the pure elements (eV/atom): 0.13

=====

[10]
Dy2Si4MoPt3: optimized geometry, PBE-GGA.

Cell and atoms, written as POSCAR:
```
Dy2Si4MoPt3
1.0
4.1919 0.0000 0.0000
0.0000 4.1919 0.0000
0.0000 0.0000 9.9836
Dy Si Pt Mo
2 4 3 1
direct
0.0000 0.5000 0.7567 Dy
0.5000 0.0000 0.2433 Dy
0.5000 0.0000 0.6334 Si
0.0000 0.5000 0.3666 Si
0.0000 0.0000 0.0000 Si
0.5000 0.5000 0.0000 Si
0.5000 0.0000 0.8760 Pt
0.0000 0.5000 0.1240 Pt
0.0000 0.0000 0.5000 Pt
0.5000 0.5000 0.5000 Mo
```

Volume (A^3/atom): 17.5
Crystal system: tetragonal
Magnetic moment (μB/f.u.): 0.00
E_form (uncorrected) (eV/atom): -0.95

=====

[11]
DyPuMo: optimized geometry, PBE-GGA.

Cell and atoms, written as POSCAR:
```
DyPuMo
1.0
-1.5912 3.7177 -3.3803
-5.1522 0.1763 2.6192
3.8427 1.1356 3.5490
Mo Pu Dy
2 2 2
direct
0.2494 0.9021 0.4988 Mo
0.7506 0.0979 0.5012 Mo
0.5347 0.7211 0.0693 Pu
0.4653 0.2789 0.9307 Pu
0.8732 0.6716 0.7465 Dy
0.1268 0.3284 0.2535 Dy
```

Volume (A^3/atom): 21.9
Crystal system: monoclinic
Magnetic moment (μB/f.u.): 2.55
Energy of formation from the pure elements (eV/atom): 0.33

=====

[12]
Dy2Re3Mo: optimized geometry, PBE-GGA.

Cell and atoms, written as POSCAR:
```
Dy2Re3Mo
1.0
4.8041 -0.1342 -2.5152
-3.0524 4.4775 -0.2428
-0.2018 0.1442 5.4542
Re Mo Dy
3 1 2
direct
0.5000 0.5000 0.5000 Re
0.5000 0.0000 0.5000 Re
0.0000 0.0000 0.5000 Re
0.0000 0.0000 0.0000 Mo
0.7513 0.3759 0.1272 Dy
0.2487 0.6241 0.8728 Dy
```

Volume (A^3/atom): 19.0
Crystal system: monoclinic
Magnetic moment (μB/f.u.): 0.00
Energy of formation from the pure elements (eV/atom): -0.15

=====

[13]
Dy2ReMo3: optimized geometry, PBE-GGA.

Cell and atoms, written as POSCAR:
```
Dy2ReMo3
1.0
4.8653 -0.1538 -2.5674
-3.0939 4.5459 -0.2215
-0.2195 0.1279 5.4774
Mo Dy Re
3 2 1
direct
0.5000 0.0000 0.5000 Mo
0.5000 0.5000 0.5000 Mo
0.0000 0.0000 0.5000 Mo
0.7485 0.3743 0.1228 Dy
0.2515 0.6257 0.8772 Dy
0.0000 0.0000 0.0000 Re
```

Volume (A^3/atom): 19.5
Crystal system: trigonal
Magnetic moment (μB/f.u.): 0.00
Energy of formation from the pure elements (eV/atom): 0.00

=====

[14]
Dy2MoRu3: optimized geometry, PBE-GGA.

Cell and atoms, written as POSCAR:
```
Dy2MoRu3
1.0
5.5627 0.0000 0.0000
-2.7814 4.8174 0.0000
0.0000 0.0000 8.1971
Ru Dy Mo
6 4 2
direct
0.1714 0.3429 0.2500 Ru
0.3429 0.1715 0.7500 Ru
0.8286 0.1715 0.7500 Ru
0.8286 0.6571 0.7500 Ru
0.6571 0.8285 0.2500 Ru
0.1714 0.8285 0.2500 Ru
0.6667 0.3333 0.4381 Dy
0.6667 0.3333 0.0619 Dy
0.3333 0.6667 0.9381 Dy
0.3333 0.6667 0.5619 Dy
0.0000 0.0000 0.5000 Mo
0.0000 0.0000 0.0000 Mo
```

Volume (A^3/atom): 18.3
Crystal system: hexagonal
Magnetic moment (μB/f.u.): 0.00
Energy of formation from the pure elements (eV/atom): -0.29

=====

[15]
DyMoRu2: optimized geometry, PBE-GGA.

Cell and atoms, written as POSCAR:
```
DyMoRu2
1.0
-1.4956 1.8965 -1.9866
-2.7093 -0.6475 1.4216
1.0260 5.4645 4.4442
Dy Ru Mo
1 2 1
direct
0.5000 0.5000 0.5000 Dy
0.0000 0.0000 0.7907 Ru
0.0000 0.0000 0.2093 Ru
0.5000 0.5000 0.0000 Mo
```

Volume (A^3/atom): 17.4
Crystal system: tetragonal
Magnetic moment (μB/f.u.): 0.00
Energy of formation from the pure elements (eV/atom): -0.06

=====

[16]
DySi2MoRu: optimized geometry, PBE-GGA.

Cell and atoms, written as POSCAR:
```
DySi2MoRu
1.0
-1.5497 2.9990 2.3322
-3.6323 -0.4315 -1.8587
1.1906 -4.7641 3.3081
Si Mo Ru Dy
2 1 1 1
direct
0.3819 0.3819 0.7638 Si
0.6181 0.6181 0.2362 Si
0.7500 0.2500 0.5000 Mo
0.2500 0.7500 0.5000 Ru
0.0000 0.0000 0.0000 Dy
```

Volume (A^3/atom): 17.4
Crystal system: tetragonal
Magnetic moment (μB/f.u.): 1.27
E_form (uncorrected) (eV/atom): -0.60

=====

[17]
DyTcMoRu: optimized geometry, PBE-GGA.

Cell and atoms, written as POSCAR:
```
DyTcMoRu
1.0
-1.8625 -3.9414 1.4080
2.4442 -3.8716 -0.1519
1.4390 -1.9543 3.8854
Dy Mo Ru Tc
1 1 1 1
direct
0.7500 0.7500 0.7500 Dy
0.2500 0.2500 0.2500 Mo
0.0000 0.0000 0.0000 Ru
0.5000 0.5000 0.5000 Tc
```

Volume (A^3/atom): 17.0
Crystal system: cubic
Magnetic moment (μB/f.u.): 0.00
Energy of formation from the pure elements (eV/atom): 0.01

=====

[18]
DyMo6S8: optimized geometry, PBE-GGA.

Cell and atoms, written as POSCAR:
```
DyMo6S8
1.0
-0.6825 1.9170 6.1677
0.7919 -6.1074 2.0625
6.4095 0.9223 0.4992
S Mo Dy
8 6 1
direct
0.7527 0.3677 0.1285 S
0.6323 0.8715 0.2473 S
0.7618 0.7618 0.7618 S
0.1285 0.7527 0.3677 S
0.2382 0.2382 0.2382 S
0.8715 0.2473 0.6323 S
0.2473 0.6323 0.8715 S
0.3677 0.1285 0.7527 S
0.4399 0.7771 0.5794 Mo
0.5601 0.2229 0.4206 Mo
0.5794 0.4399 0.7771 Mo
0.4206 0.5601 0.2229 Mo
0.7771 0.5794 0.4399 Mo
0.2229 0.4206 0.5601 Mo
0.0000 0.0000 0.0000 Dy
```

Volume (A^3/atom): 18.3
Crystal system: trigonal
Magnetic moment (μB/f.u.): 0.00
E_form (uncorrected) (eV/atom): -0.91

=====

[19]
DyMoS2: optimized geometry, PBE-GGA.

Cell and atoms, written as POSCAR:
```
DyMoS2
1.0
3.3699 0.0000 0.0000
1.6850 2.9184 0.0000
1.6850 0.9728 8.4926
Mo Dy S
1 1 2
direct
0.5000 0.5000 0.5000 Mo
0.0000 0.0000 0.0000 Dy
0.8936 0.8936 0.3193 S
0.1064 0.1064 0.6807 S
```

Volume (A^3/atom): 20.9
Crystal system: trigonal
Magnetic moment (μB/f.u.): 0.00
E_form (uncorrected) (eV/atom): -0.52

=====

[20]
DyScMo: optimized geometry, PBE-GGA.

Cell and atoms, written as POSCAR:
```
DyScMo
1.0
-1.4450 -2.3959 5.0815
4.4443 -1.4700 3.4260
0.6461 2.8901 3.9149
Mo Sc Dy
2 2 2
direct
0.3083 0.8079 0.1353 Mo
0.8079 0.3083 0.1353 Mo
0.2247 0.2247 0.4682 Sc
0.7248 0.7248 0.4681 Sc
0.6414 0.1415 0.8017 Dy
0.1415 0.6414 0.8017 Dy
```

Volume (A^3/atom): 21.5
Crystal system: hexagonal
Magnetic moment (μB/f.u.): 0.00
Energy of formation from the pure elements (eV/atom): 0.26